(1)
A plane-wave DFT calculation with GGA-PBEsol was carried out for an optimized crystal structure of ErNiGe.

The space group is Pnma (No. 62) and the conventional cell measures 6.743, 4.153 and 7.139 Å, with angles of 90.00, 90.00 and 90.00 degrees. The inequivalent atoms are Er at (0.008, 0.250, 0.205), Ni at (0.192, 0.750, 0.418) and Ge at (0.195, 0.250, 0.589).

The energy of formation from the pure elements is -0.867 eV/atom. Its calculated density is 9.92 g/cm3. The value obtained for the magnetization is 0.0 μB/cell. The density of states at the Fermi level is 1.743 states/eV/f.u.

---

(2)
A plane-wave DFT calculation with GGA-PBEsol was carried out for an optimized crystal structure of Zr4Sc5.

The space group is I4/mmm (No. 139) and the conventional cell measures 9.594, 9.594 and 4.429 Å, with angles of 90.00, 90.00 and 90.00 degrees. The inequivalent atoms are Zr at (0.000, 0.338, 0.000), Sc at (0.000, 0.000, 0.000) and Sc at (0.170, 0.170, 0.500).

The energy of formation from the pure elements is 0.035 eV/atom. Its calculated density is 4.80 g/cm3. The value obtained for the magnetization is 0.0 μB/cell. The density of states at the Fermi level is 12.992 states/eV/f.u. The value obtained for the offset from the most stable computed form is 0 meV per atom.

---

(3)
A plane-wave DFT calculation with GGA-PBEsol was carried out for an optimized crystal structure of Mn2SnSeN.

The space group is P4/mmm (No. 123) and the conventional cell measures 4.490, 4.490 and 5.664 Å, with angles of 90.00, 90.00 and 90.00 degrees. The inequivalent atoms are Mn at (0.000, 0.500, 0.000), Sn at (0.000, 0.000, 0.500), Se at (0.000, 0.000, 0.000) and N at (0.500, 0.500, 0.500).

Its calculated density is 4.68 g/cm3. The formation energy without anion corrections comes out at 1538 meV/atom. The value obtained for the magnetization is 9.0 μB/cell. The density of states at the Fermi level is 2.114 states/eV/f.u.

---

(4)
A plane-wave DFT calculation with GGA-PBEsol was carried out for an optimized crystal structure of YIr3.

The space group is P-6m2 (No. 187) and the conventional cell measures 2.8085, 2.8085 and 9.3233 Å, with angles of 90.00, 90.00 and 120.00 degrees. The inequivalent atoms are Y at (0.0000, 0.0000, 0.0000), Ir at (0.0000, 0.0000, 0.5000) and Ir at (0.3333, 0.6667, 0.2693).

The energy of formation from the pure elements is 0.176 eV/atom. Its calculated density is 17.35 g/cm3. The value obtained for the magnetization is 0.0 μB/cell. The density of states at the Fermi level is 3.350 states/eV/f.u.

---

(5)
A plane-wave DFT calculation with GGA-PBEsol was carried out for an optimized crystal structure of Cd2MoWO8.

The space group is I-4 (No. 82) and the conventional cell measures 5.170, 5.170 and 11.068 Å, with angles of 90.00, 90.00 and 90.00 degrees. The inequivalent atoms are Cd at (0.000, 0.000, 0.000), Cd at (0.000, 0.500, 0.250), Mo at (0.000, 0.000, 0.500), W at (0.000, 0.500, 0.750), O at (0.159, 0.254, 0.839) and O at (0.160, 0.762, 0.411).

Its calculated density is 7.10 g/cm3. The formation energy without anion corrections comes out at -1761 meV/atom. The value obtained for the magnetization is 0.0 μB/cell. The density of states at the Fermi level is 0.000 states/eV/f.u.

---

(6)
A plane-wave DFT calculation with GGA-PBEsol was carried out for an optimized crystal structure of NiSbTe2Mo.

The space group is P4/mmm (No. 123) and the conventional cell measures 4.990, 4.990 and 4.725 Å, with angles of 90.00, 90.00 and 90.00 degrees. The inequivalent atoms are Ni at (0.000, 0.000, 0.000), Sb at (0.000, 0.000, 0.500), Te at (0.000, 0.500, 0.000) and Mo at (0.500, 0.500, 0.500).

Its calculated density is 7.50 g/cm3. The formation energy without anion corrections comes out at 870 meV/atom. The value obtained for the magnetization is 3.0 μB/cell. The density of states at the Fermi level is 3.160 states/eV/f.u.

---

(7)
A plane-wave DFT calculation with GGA-PBEsol was carried out for an optimized crystal structure of Ca2TeRu.

The space group is Imm2 (No. 44) and the conventional cell measures 3.421, 4.795 and 12.118 Å, with angles of 90.00, 90.00 and 90.00 degrees. The inequivalent atoms are Ca at (0.000, 0.000, 0.000), Ca at (0.000, 0.500, 0.205), Te at (0.000, 0.000, 0.384) and Ru at (0.000, 0.500, 0.723).

Its calculated density is 5.16 g/cm3. The formation energy without anion corrections comes out at -358 meV/atom. The value obtained for the magnetization is 0.0 μB/cell. The density of states at the Fermi level is 0.196 states/eV/f.u.

---

(8)
A plane-wave DFT calculation with GGA-PBEsol was carried out for an optimized crystal structure of LiTlRu2Pb.

The space group is P4/mmm (No. 123) and the conventional cell measures 5.018, 5.018 and 5.713 Å, with angles of 90.00, 90.00 and 90.00 degrees. The inequivalent atoms are Li at (0.000, 0.000, 0.000), Tl at (0.500, 0.500, 0.000), Ru at (0.000, 0.500, 0.500) and Pb at (0.500, 0.500, 0.500).

The energy of formation from the pure elements is 1.664 eV/atom. Its calculated density is 7.16 g/cm3. The value obtained for the magnetization is 2.2 μB/cell. The density of states at the Fermi level is 5.598 states/eV/f.u.

---

(9)
A plane-wave DFT calculation with GGA-PBEsol was carried out for an optimized crystal structure of KZnCr3.

The space group is Pm-3m (No. 221) and the conventional cell measures 4.140, 4.140 and 4.140 Å, with angles of 90.00, 90.00 and 90.00 degrees. The inequivalent atoms are K at (0.000, 0.000, 0.000), Zn at (0.500, 0.500, 0.500) and Cr at (0.000, 0.000, 0.500).

The energy of formation from the pure elements is 2.750 eV/atom. Its calculated density is 6.09 g/cm3. The value obtained for the magnetization is 2.9 μB/cell. The density of states at the Fermi level is 7.272 states/eV/f.u.

---

(10)
A plane-wave DFT calculation with GGA-PBEsol was carried out for an optimized crystal structure of SrGaSeN2.

The space group is P4/mmm (No. 123) and the conventional cell measures 4.124, 4.124 and 5.104 Å, with angles of 90.00, 90.00 and 90.00 degrees. The inequivalent atoms are Sr at (0.000, 0.000, 0.000), Ga at (0.500, 0.500, 0.500), Se at (0.500, 0.500, 0.000) and N at (0.000, 0.500, 0.500).

Its calculated density is 5.06 g/cm3. The formation energy without anion corrections comes out at 241 meV/atom. The value obtained for the magnetization is 2.9 μB/cell. The density of states at the Fermi level is 1.691 states/eV/f.u.

---

(11)
A plane-wave DFT calculation with GGA-PBEsol was carried out for an optimized crystal structure of ZnFe3.

The space group is C2/m (No. 12) and the conventional cell measures 8.342, 2.443 and 4.518 Å, with angles of 90.00, 96.96 and 90.00 degrees. The inequivalent atoms are Zn at (0.000, 0.000, 0.000), Fe at (0.000, 0.500, 0.500) and Fe at (0.249, 0.500, 0.253).

The energy of formation from the pure elements is 0.094 eV/atom. Its calculated density is 8.46 g/cm3. The value obtained for the magnetization is 13.4 μB/cell. The density of states at the Fermi level is 3.510 states/eV/f.u.

---

(12)
A plane-wave DFT calculation with GGA-PBEsol was carried out for an optimized crystal structure of NaIrRu2Pt.

The space group is P4/mmm (No. 123) and the conventional cell measures 4.772, 4.772 and 4.789 Å, with angles of 90.00, 90.00 and 90.00 degrees. The inequivalent atoms are Na at (0.000, 0.000, 0.000), Ir at (0.500, 0.500, 0.000), Ru at (0.000, 0.500, 0.500) and Pt at (0.500, 0.500, 0.500).

The energy of formation from the pure elements is 1.873 eV/atom. Its calculated density is 9.33 g/cm3. The value obtained for the magnetization is 3.8 μB/cell. The density of states at the Fermi level is 9.242 states/eV/f.u.

---

> Among the records above, which one has the highest calculated density?

YIr3

---

> What is the magnetization in the fourth record?

0.0 μB/cell

---

> What is the formula in the tenth record?

SrGaSeN2